[1]
Entry from the Alexandria database: a geometry-optimized LiTaRu2 structure (PBE).

Values from the calculation:
ΔH_f (0 K) in eV/atom: 0.08
Polymorph energy (0 for the lowest one) in eV per atom: 0.280

a = 2.9998 Å, b = 2.9998 Å, c = 24.6059 Å
α = 90.00°, β = 90.00°, γ = 120.00°
Last column: nearest neighbours and their distance in Å.
Space group R-3m (No. 166, hexagonal axes)
One atom of each set of equivalent atoms:
Li (0.0000, 0.0000, 0.0000) x3  6 Ru 2.77, 6 Li 3.00
Ta (0.0000, 0.0000, 0.5000) x3  6 Ru 2.60
Ru (0.0000, 0.0000, 0.2456) x6  3 Ta 2.60, 3 Li 2.77

***

[2]
Entry from the Alexandria database: a geometry-optimized RbSbAsRh2 structure (PBE).

Values from the calculation:
Formation energy from raw total energies in eV per atom: -0.51

a = 8.0840 Å, b = 4.1261 Å, c = 8.2817 Å
α = 90.00°, β = 104.61°, γ = 90.00°
Last column: nearest neighbours and their distance in Å.
Space group P2_1/m (No. 11)
One atom of each set of equivalent atoms:
Rb (0.0606, 0.2500, 0.2408) x2  3 As 3.48-3.56, 3 Sb 3.60-3.63, 1 Rh 3.89
Sb (0.3019, 0.7500, 0.5797) x2  4 Rh 2.61
As (0.3270, 0.7500, 0.0799) x2  4 Rh 2.44-2.45
Rh (0.4941, 0.7500, 0.3693) x2  1 As 2.44, 3 Sb 2.61
Rh (0.4951, 0.2500, 0.1195) x2  3 As 2.45, 1 Sb 2.61

***

[3]
Entry from the Alexandria database: a geometry-optimized Pu2InAu6 structure (PBE).

Values from the calculation:
ΔH_f (0 K) in eV/atom: -0.34

a = 11.0620 Å, b = 6.3763 Å, c = 5.6692 Å
α = 90.00°, β = 90.04°, γ = 90.00°
Last column: nearest neighbours and their distance in Å.
Space group C2/m (No. 12)
One atom of each set of equivalent atoms:
Pu (0.1665, 0.0000, 0.1624) x4  12 Au 3.20-3.34
In (0.0000, 0.5000, 0.0000) x2  6 Au 2.75
Au (0.0929, 0.2216, 0.6760) x8  1 In 2.75, 4 Au 2.82-2.87
Au (0.1860, 0.5000, 0.3233) x4  1 In 2.75, 4 Au 2.82-2.87

***

[4]
Entry from the Alexandria database: a geometry-optimized Pm5AlNi2 structure (PBE).

Values from the calculation:
ΔH_f (0 K) in eV/atom: -0.25

a = 7.8598 Å, b = 7.8598 Å, c = 13.2986 Å
α = 90.00°, β = 90.00°, γ = 90.00°
Last column: nearest neighbours and their distance in Å.
Space group I4/mcm (No. 140)
One atom of each set of equivalent atoms:
Pm (0.0000, 0.0000, 0.0000) x4  4 Ni 3.12, 2 Al 3.32, 8 Pm 3.48
Pm (0.1611, 0.3389, 0.1395) x16  3 Ni 2.91-3.04
Al (0.0000, 0.0000, 0.2500) x4  10 Pm 3.29-3.32
Ni (0.1222, 0.3778, 0.5000) x8  1 Ni 2.72, 6 Pm 2.91-3.04

***

[5]
Entry from the Alexandria database: a geometry-optimized CaSmInGe structure (PBE).

Values from the calculation:
ΔH_f (0 K) in eV/atom: -0.46

a = 7.4990 Å, b = 7.4990 Å, c = 7.4990 Å
α = 90.00°, β = 90.00°, γ = 90.00°
Last column: nearest neighbours and their distance in Å.
Space group F-43m (No. 216)
One atom of each set of equivalent atoms:
Ca (0.0000, 0.0000, 0.0000) x4  4 Ge 3.25, 4 In 3.25
Sm (0.0000, 0.0000, 0.5000) x4  4 Ge 3.25, 4 In 3.25
In (0.2500, 0.2500, 0.2500) x4  4 Ca 3.25, 4 Sm 3.25
Ge (0.2500, 0.2500, 0.7500) x4  4 Ca 3.25, 4 Sm 3.25

***

[6]
Entry from the Alexandria database: a geometry-optimized CsTbRe2O8 structure (PBE).

Values from the calculation:
Formation energy from raw total energies in eV per atom: -2.02

a = 6.0855 Å, b = 6.0855 Å, c = 8.4574 Å
α = 90.00°, β = 90.00°, γ = 120.00°
Last column: nearest neighbours and their distance in Å.
Space group P-3 (No. 147)
One atom of each set of equivalent atoms:
Cs (0.0000, 0.0000, 0.0000) x1  12 O 3.39-3.55
Tb (0.0000, 0.0000, 0.5000) x1  6 O 2.27
Re (0.3333, 0.6667, 0.7335) x2  4 O 1.77-1.81
O (0.1710, 0.3437, 0.6609) x6  1 Re 1.81
O (0.3333, 0.6667, 0.9424) x2  1 Re 1.77

***

[7]
Entry from the Alexandria database: a geometry-optimized RbBe4Pb3O12 structure (PBE).

Values from the calculation:
Formation energy from raw total energies in eV per atom: -1.32

a = 10.6881 Å, b = 10.6881 Å, c = 8.3612 Å
α = 90.00°, β = 90.00°, γ = 120.00°
Last column: nearest neighbours and their distance in Å.
Space group R32 (No. 155, hexagonal axes)
One atom of each set of equivalent atoms:
Rb (0.0000, 0.0000, 0.0000) x3  6 O 2.79
Be (0.0000, 0.0000, 0.5000) x3  3 O 1.56
Be (0.0000, 0.4492, 0.5000) x9  3 O 1.53-1.54
Pb (0.0000, 0.5546, 0.0000) x9  6 O 2.15-2.23
O (0.0000, 0.5929, 0.5000) x9  1 Be 1.54
O (0.0000, 0.8540, 0.5000) x9  1 Be 1.56
O (0.0350, 0.2355, 0.1791) x18  1 Be 1.53

***

[8]
Entry from the Alexandria database: a geometry-optimized MnSbAu structure (PBE).

Values from the calculation:
Formation energy from raw total energies in eV per atom: 0.15
Polymorph energy (0 for the lowest one) in eV per atom: 0.141

a = 3.4142 Å, b = 3.4142 Å, c = 6.1485 Å
α = 90.00°, β = 90.00°, γ = 120.00°
Last column: nearest neighbours and their distance in Å.
Space group P3m1 (No. 156)
One atom of each set of equivalent atoms:
Mn (0.0000, 0.0000, 0.0000) x1  3 Au 2.66, 3 Sb 2.83
Sb (0.6667, 0.3333, 0.3295) x1  3 Mn 2.83, 3 Au 3.05
Au (0.3333, 0.6667, 0.7086) x1  3 Mn 2.66

***

Please write out number 3 again, unchanged.
Entry from the Alexandria database: a geometry-optimized Pu2InAu6 structure (PBE).

Values from the calculation:
ΔH_f (0 K) in eV/atom: -0.34

a = 11.0620 Å, b = 6.3763 Å, c = 5.6692 Å
α = 90.00°, β = 90.04°, γ = 90.00°
Last column: nearest neighbours and their distance in Å.
Space group C2/m (No. 12)
One atom of each set of equivalent atoms:
Pu (0.1665, 0.0000, 0.1624) x4  12 Au 3.20-3.34
In (0.0000, 0.5000, 0.0000) x2  6 Au 2.75
Au (0.0929, 0.2216, 0.6760) x8  1 In 2.75, 4 Au 2.82-2.87
Au (0.1860, 0.5000, 0.3233) x4  1 In 2.75, 4 Au 2.82-2.87